Here is an optimized crystal structure of Li4HgSb2 from Alexandria. Energies are from PBE-GGA.

**Size of the total moment**: 0.0 μB per formula unit
**ΔE_f (raw)**: -437 meV per atom
**Space group**: R-3m (166)
**Energy relative to the lowest polymorph listed for this composition**: 0 meV per atom

Structure (extended XYZ):
```
7
Lattice="2.433 1.405 8.989 -2.433 1.405 8.989 0.000 -2.810 8.989" Properties=species:S:1:pos:R:3 pbc="T T T"
Li 0.000 0.000 2.098
Li 0.000 0.000 7.831
Li 0.000 0.000 19.137
Li 0.000 0.000 24.870
Hg 0.000 0.000 13.484
Sb 0.000 0.000 10.773
Sb 0.000 0.000 16.195
```